[1]
{
  "formula": "TbCePd",
  "functional": "GGA-PBE",
  "state": "optimized geometry",
  "cell": [[-0.8861, 1.5044, -3.1980], [-0.4297, -4.6233, 2.0967], [-11.0108, 4.4767, 0.4792]],
  "species": ["Pd", "Pd", "Tb", "Tb", "Ce", "Ce"],
  "frac_coords": [[0.1883, 0.2503, 0.2633], [0.8117, 0.7497, 0.7367], [0.3724, 0.7500, 0.1128], [0.6276, 0.2500, 0.8872], [0.0241, 0.7502, 0.4207], [0.9759, 0.2498, 0.5793]],
  "spacegroup": "P2_1/m",
  "relative_energy_kj_per_mol_atoms": 0.0,
  "total_magnetization_mub_per_cell": 1.502,
  "ef_kj_per_mol_atoms": -43.65
}


[2]
{
  "formula": "TbCePd2",
  "functional": "GGA-PBE",
  "state": "optimized geometry",
  "cell": [[4.0990, 0.0000, 0.0000], [2.0495, 3.5499, 0.0000], [2.0495, 1.1833, 6.7947]],
  "species": ["Tb", "Pd", "Pd", "Ce"],
  "frac_coords": [[0.0000, 0.0000, 0.0000], [0.7502, 0.7502, 0.7494], [0.2498, 0.2498, 0.2506], [0.5000, 0.5000, 0.5000]],
  "spacegroup": "R-3m",
  "total_magnetization_mub_per_cell": 0.497,
  "ef_kj_per_mol_atoms": -64.73
}